First-principles (GGA-PBE) data for PrPuSi2 after structural relaxation, as listed in the Alexandria database.

a b c (Å): 5.616 5.616 5.616
angles (deg): 49.83 49.83 49.83
Atoms (fractional coordinates):
Pr 0.000 0.000 0.000
Pu 0.500 0.500 0.500
Si 0.236 0.236 0.236
Si 0.764 0.764 0.764

Calculated values
E above lowest polymorph = 271 meV/atom
DOS at the Fermi energy = 2.36 states/eV/atom



First-principles (GGA-PBE) data for Pr4PuSi4 after structural relaxation, as listed in the Alexandria database.

a b c (Å): 8.991 8.991 6.062
angles (deg): 90.00 90.00 90.00
Atoms (fractional coordinates):
Pr 0.039 0.678 0.108
Pr 0.178 0.961 0.608
Pr 0.322 0.539 0.608
Pr 0.461 0.822 0.108
Pr 0.539 0.178 0.892
Pr 0.678 0.461 0.392
Pr 0.822 0.039 0.392
Pr 0.961 0.322 0.892
Pu 0.250 0.250 0.250
Pu 0.750 0.750 0.750
Si 0.007 0.620 0.597
Si 0.120 0.993 0.097
Si 0.380 0.507 0.097
Si 0.493 0.880 0.597
Si 0.507 0.120 0.403
Si 0.620 0.493 0.903
Si 0.880 0.007 0.903
Si 0.993 0.380 0.403

Calculated values
DOS at the Fermi energy = 1.50 states/eV/atom
total energy = -6.521 eV per atom



First-principles (GGA-PBE) data for PrPu2Zn2Si2 after structural relaxation, as listed in the Alexandria database.

a b c (Å): 9.548 9.548 9.548
angles (deg): 24.37 24.37 24.37
Atoms (fractional coordinates):
Pr 0.000 0.000 0.000
Pu 0.151 0.151 0.151
Pu 0.849 0.849 0.849
Zn 0.411 0.411 0.411
Zn 0.589 0.589 0.589
Si 0.255 0.255 0.255
Si 0.745 0.745 0.745

Calculated values
DOS at the Fermi energy = 1.06 states/eV/atom
total energy = -6.953 eV per atom



First-principles (GGA-PBE) data for Pr8Sm5Pu after structural relaxation, as listed in the Alexandria database.

a b c (Å): 8.683 8.683 9.668
angles (deg): 122.65 122.65 61.38
Atoms (fractional coordinates):
Pr 0.038 0.038 0.200
Pr 0.133 0.475 0.541
Pr 0.430 0.073 0.165
Pr 0.448 0.223 0.872
Pr 0.525 0.867 0.459
Pr 0.777 0.552 0.128
Pr 0.927 0.570 0.835
Pr 0.962 0.962 0.800
Sm 0.231 0.569 0.258
Sm 0.431 0.769 0.742
Sm 0.605 0.309 0.635
Sm 0.691 0.395 0.365
Sm 0.982 0.018 0.500
Pu 0.328 0.672 0.000

Calculated values
DOS at the Fermi energy = 1.67 states/eV/atom
total energy = -5.233 eV per atom



First-principles (GGA-PBE) data for Pr3Sm4Pu after structural relaxation, as listed in the Alexandria database.

a b c (Å): 9.010 9.010 9.010
angles (deg): 157.49 97.93 86.45
Atoms (fractional coordinates):
Pr 0.000 0.000 0.000
Pr 0.266 0.766 0.500
Pr 0.734 0.234 0.500
Sm 0.121 0.369 0.753
Sm 0.384 0.631 0.753
Sm 0.616 0.369 0.247
Sm 0.879 0.631 0.247
Pu 0.500 0.500 0.000

Calculated values
DOS at the Fermi energy = 2.04 states/eV/atom
total energy = -5.796 eV per atom



First-principles (GGA-PBE) data for PrSmPu after structural relaxation, as listed in the Alexandria database.

a b c (Å): 8.022 8.022 8.022
angles (deg): 154.22 154.22 36.77
Atoms (fractional coordinates):
Pr 0.000 0.000 0.000
Sm 0.326 0.326 0.000
Pu 0.665 0.665 0.000

Calculated values
E above lowest polymorph = 0 meV/atom
DOS at the Fermi energy = 2.32 states/eV/atom